Arrangement i

Material: Nd3AgC
Method: DFT, GGA-PBE
State: optimized geometry

Summary:
D(E_F), states/eV/cell: 5.521
Magnetization, μB/cell: 0.000

Cell: 5.0989 5.0989 5.0989 Å, 90.00 90.00 90.00°
Space group Pm-3m (No. 221)
Inequivalent atoms, fractional coordinates:
Nd (0.0000, 0.0000, 0.5000) [3 per cell]
Ag (0.5000, 0.5000, 0.5000) [1 per cell]
C (0.0000, 0.0000, 0.0000) [1 per cell]


Arrangement ii

Material: Nd3AgC
Method: DFT, GGA-PBE
State: optimized geometry

Summary:
D(E_F), states/eV/cell: 20.772
Magnetization, μB/cell: 0.000

Cell: 9.0467 3.7882 15.0008 Å, 90.00 90.00 90.00°
Space group Pnma (No. 62)
Inequivalent atoms, fractional coordinates:
Nd (0.0158, 0.2500, 0.1013) [4 per cell]
Nd (0.1785, 0.2500, 0.5163) [4 per cell]
Nd (0.1998, 0.7500, 0.3108) [4 per cell]
Ag (0.0934, 0.7500, 0.6801) [4 per cell]
C (0.1571, 0.2500, 0.9515) [4 per cell]


Energies in meV per atom, measured from the most stable structure: arrangement i 108; arrangement ii 0.


Arrangement i

Material: NiAgC3
Method: DFT, GGA-PBE
State: optimized geometry

Summary:
D(E_F), states/eV/cell: 2.980
Magnetization, μB/cell: 0.000

Cell: 4.0687 4.0687 4.0687 Å, 90.00 90.00 90.00°
Space group Pm-3m (No. 221)
Inequivalent atoms, fractional coordinates:
Ni (0.0000, 0.0000, 0.0000) [1 per cell]
Ag (0.5000, 0.5000, 0.5000) [1 per cell]
C (0.0000, 0.5000, 0.5000) [3 per cell]


Arrangement ii

Material: NiAgC3
Method: DFT, GGA-PBE
State: optimized geometry

Summary:
D(E_F), states/eV/cell: 1.434
Magnetization, μB/cell: 0.000

Cell: 3.8193 3.8193 3.8193 Å, 90.00 90.00 90.00°
Space group Pm-3m (No. 221)
Inequivalent atoms, fractional coordinates:
Ni (0.0000, 0.0000, 0.0000) [1 per cell]
Ag (0.5000, 0.5000, 0.5000) [1 per cell]
C (0.0000, 0.0000, 0.5000) [3 per cell]


Energies in meV per atom, measured from the most stable structure: arrangement i 1091; arrangement ii 0.


Arrangement i

Material: TaNiAgSnOsC
Method: DFT, GGA-PBE
State: optimized geometry

Summary:
D(E_F), states/eV/cell: 0.973
Magnetization, μB/cell: 0.000

Cell: 4.7069 3.1316 6.5845 Å, 90.00 107.39 90.00°
Space group Pm (No. 6)
Inequivalent atoms, fractional coordinates:
Ta (0.0000, 0.0000, 0.0000) [1 per cell]
Ni (0.5151, 0.5000, 0.1319) [1 per cell]
Ag (0.7731, 0.0000, 0.4989) [1 per cell]
Sn (0.2189, 0.5000, 0.4071) [1 per cell]
Os (0.3912, 0.0000, 0.7870) [1 per cell]
C (0.6691, 0.5000, 0.8882) [1 per cell]


Arrangement ii

Material: TaNiAgSnOsC
Method: DFT, GGA-PBE
State: optimized geometry

Summary:
D(E_F), states/eV/cell: 5.722
Magnetization, μB/cell: 0.000

Cell: 10.2458 3.2157 6.1198 Å, 90.00 106.04 90.00°
Space group Cm (No. 8)
Inequivalent atoms, fractional coordinates:
Ta (0.0000, 0.0000, 0.0000) [2 per cell]
Ni (0.2916, 0.0000, 0.1101) [2 per cell]
Ag (0.4069, 0.0000, 0.5610) [2 per cell]
Sn (0.1914, 0.5000, 0.7662) [2 per cell]
Os (0.1717, 0.5000, 0.3129) [2 per cell]
C (0.4760, 0.0000, 0.2106) [2 per cell]


Arrangement iii

Material: TaNiAgSnOsC
Method: DFT, GGA-PBE
State: optimized geometry

Summary:
D(E_F), states/eV/cell: 4.012
Magnetization, μB/cell: 0.000

Cell: 9.5055 3.0287 6.8382 Å, 90.00 109.50 90.00°
Space group Cm (No. 8)
Inequivalent atoms, fractional coordinates:
Ta (0.0000, 0.0000, 0.0000) [2 per cell]
Ni (0.3210, 0.0000, 0.2102) [2 per cell]
Ag (0.1383, 0.5000, 0.3786) [2 per cell]
Sn (0.4422, 0.5000, 0.5458) [2 per cell]
Os (0.1829, 0.5000, 0.8384) [2 per cell]
C (0.3296, 0.0000, 0.9331) [2 per cell]


Energies in meV per atom, measured from the most stable structure: arrangement i 18; arrangement ii 187; arrangement iii 0.


Arrangement i

Material: TaNiAgSnOsC
Method: DFT, GGA-PBE
State: optimized geometry

Summary:
D(E_F), states/eV/cell: 6.098
Magnetization, μB/cell: 0.000

Cell: 9.0569 3.1249 7.0177 Å, 90.00 110.36 90.00°
Space group Cm (No. 8)
Inequivalent atoms, fractional coordinates:
Ta (0.0000, 0.0000, 0.0000) [2 per cell]
Ni (0.2482, 0.0000, 0.8855) [2 per cell]
Ag (0.3044, 0.5000, 0.2780) [2 per cell]
Sn (0.1305, 0.0000, 0.4815) [2 per cell]
Os (0.4576, 0.0000, 0.6647) [2 per cell]
C (0.1417, 0.5000, 0.9414) [2 per cell]


Arrangement ii

Material: TaNiAgSnOsC
Method: DFT, GGA-PBE
State: optimized geometry

Summary:
D(E_F), states/eV/cell: 1.827
Magnetization, μB/cell: 0.000

Cell: 3.0254 4.8416 7.1322 Å, 71.67 89.05 71.97°
Space group P1 (No. 1)
Inequivalent atoms, fractional coordinates:
Ta (0.0000, 0.0000, 0.0000) [1 per cell]
Ni (0.2347, 0.5676, 0.8136) [1 per cell]
Ag (0.4678, 0.0993, 0.6344) [1 per cell]
Sn (0.1255, 0.7437, 0.4298) [1 per cell]
Os (0.7573, 0.4664, 0.1781) [1 per cell]
C (0.3556, 0.2810, 0.0702) [1 per cell]


Arrangement iii

Material: TaNiAgSnOsC
Method: DFT, GGA-PBE
State: optimized geometry

Summary:
D(E_F), states/eV/cell: 4.475
Magnetization, μB/cell: 0.000

Cell: 9.8911 3.5578 5.8611 Å, 90.00 90.18 90.00°
Space group Cm (No. 8)
Inequivalent atoms, fractional coordinates:
Ta (0.0000, 0.0000, 0.0000) [2 per cell]
Ni (0.3413, 0.0000, 0.2324) [2 per cell]
Ag (0.2177, 0.5000, 0.7237) [2 per cell]
Sn (0.4879, 0.5000, 0.5162) [2 per cell]
Os (0.1240, 0.5000, 0.2320) [2 per cell]
C (0.3037, 0.5000, 0.1062) [2 per cell]


Energies in meV per atom, measured from the most stable structure: arrangement i 147; arrangement ii 0; arrangement iii 105.


Arrangement i

Material: TaNiAgSnOsC
Method: DFT, GGA-PBE
State: optimized geometry

Summary:
D(E_F), states/eV/cell: 1.799
Magnetization, μB/cell: 0.000

Cell: 9.3097 3.7441 5.9035 Å, 90.00 103.04 90.00°
Space group Cm (No. 8)
Inequivalent atoms, fractional coordinates:
Ta (0.0000, 0.0000, 0.0000) [2 per cell]
Ni (0.1543, 0.5000, 0.2989) [2 per cell]
Ag (0.3886, 0.0000, 0.5769) [2 per cell]
Sn (0.1847, 0.5000, 0.7502) [2 per cell]
Os (0.3246, 0.0000, 0.0739) [2 per cell]
C (0.1858, 0.0000, 0.2819) [2 per cell]


Arrangement ii

Material: TaNiAgSnOsC
Method: DFT, GGA-PBE
State: optimized geometry

Summary:
D(E_F), states/eV/cell: 6.451
Magnetization, μB/cell: 0.000

Cell: 10.3184 3.2114 7.3681 Å, 90.00 128.36 90.00°
Space group Cm (No. 8)
Inequivalent atoms, fractional coordinates:
Ta (0.0000, 0.0000, 0.0000) [2 per cell]
Ni (0.4816, 0.0000, 0.2790) [2 per cell]
Ag (0.2511, 0.0000, 0.5774) [2 per cell]
Sn (0.0879, 0.5000, 0.7243) [2 per cell]
Os (0.2468, 0.5000, 0.2485) [2 per cell]
C (0.3636, 0.5000, 0.1219) [2 per cell]


Energies in meV per atom, measured from the most stable structure: arrangement i 20; arrangement ii 0.


Arrangement i

Material: TaNiAgSnOsC
Method: DFT, GGA-PBE
State: optimized geometry

Summary:
D(E_F), states/eV/cell: 5.069
Magnetization, μB/cell: 0.000

Cell: 3.0585 4.4726 13.0821 Å, 90.00 90.00 90.00°
Space group Imm2 (No. 44)
Inequivalent atoms, fractional coordinates:
Ta (0.0000, 0.0000, 0.0000) [2 per cell]
Ni (0.0000, 0.0000, 0.3998) [2 per cell]
Ag (0.0000, 0.5000, 0.3002) [2 per cell]
Sn (0.0000, 0.5000, 0.7159) [2 per cell]
Os (0.0000, 0.0000, 0.5944) [2 per cell]
C (0.0000, 0.5000, 0.9914) [2 per cell]


Arrangement ii

Material: TaNiAgSnOsC
Method: DFT, GGA-PBE
State: optimized geometry

Summary:
D(E_F), states/eV/cell: 6.030
Magnetization, μB/cell: 0.000

Cell: 9.5912 3.2027 6.5813 Å, 90.00 106.36 90.00°
Space group Cm (No. 8)
Inequivalent atoms, fractional coordinates:
Ta (0.0000, 0.0000, 0.0000) [2 per cell]
Ni (0.3109, 0.0000, 0.1145) [2 per cell]
Ag (0.3917, 0.5000, 0.5240) [2 per cell]
Sn (0.1798, 0.5000, 0.7858) [2 per cell]
Os (0.0817, 0.5000, 0.3479) [2 per cell]
C (0.1797, 0.0000, 0.2873) [2 per cell]


Arrangement iii

Material: TaNiAgSnOsC
Method: DFT, GGA-PBE
State: optimized geometry

Summary:
D(E_F), states/eV/cell: 2.168
Magnetization, μB/cell: 0.000

Cell: 10.6664 3.2552 6.9329 Å, 90.00 129.56 90.00°
Space group Cm (No. 8)
Inequivalent atoms, fractional coordinates:
Ta (0.0000, 0.0000, 0.0000) [2 per cell]
Ni (0.2216, 0.5000, 0.0189) [2 per cell]
Ag (0.4787, 0.0000, 0.3281) [2 per cell]
Sn (0.3048, 0.5000, 0.4636) [2 per cell]
Os (0.2489, 0.0000, 0.7422) [2 per cell]
C (0.1095, 0.0000, 0.8372) [2 per cell]


Energies in meV per atom, measured from the most stable structure: arrangement i 0; arrangement ii 141; arrangement iii 40.


Arrangement i

Material: Ag2CO
Method: DFT, GGA-PBE
State: optimized geometry

Summary:
D(E_F), states/eV/cell: 5.246
Magnetization, μB/cell: 0.000

Cell: 5.7838 5.7838 5.7838 Å, 90.00 90.00 90.00°
Space group Fm-3m (No. 225)
Inequivalent atoms, fractional coordinates:
Ag (0.2500, 0.2500, 0.2500) [8 per cell]
C (0.0000, 0.0000, 0.0000) [4 per cell]
O (0.0000, 0.0000, 0.5000) [4 per cell]


Arrangement ii

Material: Ag2CO
Method: DFT, GGA-PBE
State: optimized geometry

Summary:
D(E_F), states/eV/cell: 2.331
Magnetization, μB/cell: 0.000

Cell: 5.6054 5.6054 7.1331 Å, 90.00 90.00 90.00°
Space group I-42d (No. 122)
Inequivalent atoms, fractional coordinates:
Ag (0.2294, 0.2500, 0.1250) [8 per cell]
C (0.0000, 0.0000, 0.0000) [4 per cell]
O (0.0000, 0.0000, 0.5000) [4 per cell]


Energies in meV per atom, measured from the most stable structure: arrangement i 190; arrangement ii 0.


Arrangement i

Material: AgOsC3
Method: DFT, GGA-PBE
State: optimized geometry

Summary:
D(E_F), states/eV/cell: 3.423
Magnetization, μB/cell: 0.000

Cell: 4.0176 4.0176 4.0176 Å, 90.00 90.00 90.00°
Space group Pm-3m (No. 221)
Inequivalent atoms, fractional coordinates:
Ag (0.0000, 0.0000, 0.0000) [1 per cell]
Os (0.5000, 0.5000, 0.5000) [1 per cell]
C (0.0000, 0.5000, 0.5000) [3 per cell]


Arrangement ii

Material: AgOsC3
Method: DFT, GGA-PBE
State: optimized geometry

Summary:
D(E_F), states/eV/cell: 2.838
Magnetization, μB/cell: 0.000

Cell: 3.9937 3.9937 3.9937 Å, 90.00 90.00 90.00°
Space group Pm-3m (No. 221)
Inequivalent atoms, fractional coordinates:
Ag (0.0000, 0.0000, 0.0000) [1 per cell]
Os (0.5000, 0.5000, 0.5000) [1 per cell]
C (0.0000, 0.0000, 0.5000) [3 per cell]


Energies in meV per atom, measured from the most stable structure: arrangement i 0; arrangement ii 1775.


Arrangement i

Material: AgOs3C
Method: DFT, GGA-PBE
State: optimized geometry

Summary:
D(E_F), states/eV/cell: 3.277
Magnetization, μB/cell: 1.267

Cell: 4.0978 4.0978 4.0978 Å, 90.00 90.00 90.00°
Space group Pm-3m (No. 221)
Inequivalent atoms, fractional coordinates:
Ag (0.0000, 0.0000, 0.0000) [1 per cell]
Os (0.0000, 0.5000, 0.5000) [3 per cell]
C (0.5000, 0.5000, 0.5000) [1 per cell]


Arrangement ii

Material: AgOs3C
Method: DFT, GGA-PBE
State: optimized geometry

Summary:
D(E_F), states/eV/cell: 7.156
Magnetization, μB/cell: 5.905

Cell: 4.8336 4.8336 4.8336 Å, 90.00 90.00 90.00°
Space group Pm-3m (No. 221)
Inequivalent atoms, fractional coordinates:
Ag (0.0000, 0.0000, 0.0000) [1 per cell]
Os (0.0000, 0.0000, 0.5000) [3 per cell]
C (0.5000, 0.5000, 0.5000) [1 per cell]


Energies in meV per atom, measured from the most stable structure: arrangement i 0; arrangement ii 3661.


Arrangement i

Material: TiAgPC2
Method: DFT, GGA-PBE
State: optimized geometry

Summary:
D(E_F), states/eV/cell: 3.391
Magnetization, μB/cell: 0.000

Cell: 3.7424 3.7424 4.7919 Å, 90.00 90.00 90.00°
Space group P4/mmm (No. 123)
Inequivalent atoms, fractional coordinates:
Ti (0.0000, 0.0000, 0.0000) [1 per cell]
Ag (0.5000, 0.5000, 0.0000) [1 per cell]
P (0.0000, 0.0000, 0.5000) [1 per cell]
C (0.0000, 0.5000, 0.5000) [2 per cell]


Arrangement ii

Material: TiAgPC2
Method: DFT, GGA-PBE
State: optimized geometry

Summary:
D(E_F), states/eV/cell: 3.724
Magnetization, μB/cell: 0.000

Cell: 3.9267 3.9267 5.5332 Å, 90.00 90.00 90.00°
Space group P4/mmm (No. 123)
Inequivalent atoms, fractional coordinates:
Ti (0.0000, 0.0000, 0.0000) [1 per cell]
Ag (0.0000, 0.0000, 0.5000) [1 per cell]
P (0.5000, 0.5000, 0.5000) [1 per cell]
C (0.0000, 0.5000, 0.0000) [2 per cell]


Energies in meV per atom, measured from the most stable structure: arrangement i 0; arrangement ii 205.


Arrangement i

Material: AgPb3C
Method: DFT, GGA-PBE
State: optimized geometry

Summary:
D(E_F), states/eV/cell: 4.099
Magnetization, μB/cell: 0.000

Cell: 5.0488 5.0488 5.0488 Å, 90.00 90.00 90.00°
Space group Pm-3m (No. 221)
Inequivalent atoms, fractional coordinates:
Ag (0.0000, 0.0000, 0.0000) [1 per cell]
Pb (0.0000, 0.5000, 0.5000) [3 per cell]
C (0.5000, 0.5000, 0.5000) [1 per cell]


Arrangement ii

Material: AgPb3C
Method: DFT, GGA-PBE
State: optimized geometry

Summary:
D(E_F), states/eV/cell: 3.411
Magnetization, μB/cell: 1.313

Cell: 5.4859 5.4859 5.4859 Å, 90.00 90.00 90.00°
Space group Pm-3m (No. 221)
Inequivalent atoms, fractional coordinates:
Ag (0.0000, 0.0000, 0.0000) [1 per cell]
Pb (0.0000, 0.0000, 0.5000) [3 per cell]
C (0.5000, 0.5000, 0.5000) [1 per cell]


Energies in meV per atom, measured from the most stable structure: arrangement i 0; arrangement ii 698.